No. 1
Density functional theory data (GGA-PBE) for an optimized crystal structure of PrErScHg.

Values from the calculation:
- formation energy (meV/atom) = -75.5

Cell lengths 5.3797, 5.3797, 5.3797 Å; angles 60.00, 60.00, 60.00 degrees
Fractional coordinates of all 4 atoms:
1 Hg 0.5000 0.5000 0.5000
2 Pr 0.7500 0.7500 0.7500
3 Sc 0.0000 0.0000 0.0000
4 Er 0.2500 0.2500 0.2500

No. 2
Density functional theory data (GGA-PBE) for an optimized crystal structure of Be2Sn4Os.

Values from the calculation:
- formation energy (meV/atom) = 619.5

Cell lengths 5.2602, 5.2602, 7.0682 Å; angles 68.15, 68.15, 90.00 degrees
Fractional coordinates of all 7 atoms:
1 Os 0.0000 0.0000 0.0000
2 Sn 0.5000 0.0000 0.0000
3 Sn 0.0000 0.5000 0.0000
4 Be 0.5853 0.5853 0.8295
5 Sn 0.7823 0.7823 0.4353
6 Be 0.4147 0.4147 0.1705
7 Sn 0.2177 0.2177 0.5647

No. 3
Density functional theory data (GGA-PBE) for an optimized crystal structure of CeTmCo10.

Values from the calculation:
- formation energy (meV/atom) = -123.9

Cell lengths 3.9737, 4.8792, 8.4714 Å; angles 90.00, 90.00, 90.00 degrees
Fractional coordinates of all 12 atoms:
1 Co 0.5000 0.5000 0.0000
2 Ce 0.0000 0.5000 0.5000
3 Co 0.5000 0.0000 0.5000
4 Co 0.5000 0.2415 0.7578
5 Co 0.5000 0.7585 0.7578
6 Co 0.5000 0.2415 0.2422
7 Co 0.0000 0.5000 0.1803
8 Co 0.0000 0.0000 0.6643
9 Tm 0.0000 0.0000 0.0000
10 Co 0.0000 0.5000 0.8197
11 Co 0.5000 0.7585 0.2422
12 Co 0.0000 0.0000 0.3357

No. 4
Density functional theory data (GGA-PBE) for an optimized crystal structure of IrPtF2.

Values from the calculation:
- formation energy from raw total energies (eV per atom) = -0.252
- energy above the lowest structure with this stoichiometry (meV per atom) = 255.9

Cell lengths 8.5877, 8.5877, 8.5877 Å; angles 18.19, 18.19, 18.19 degrees
Fractional coordinates of all 4 atoms:
1 F 0.9214 0.9214 0.9214
2 Ir 0.5000 0.5000 0.5000
3 Pt 0.0000 0.0000 0.0000
4 F 0.0786 0.0786 0.0786